# BiPdPt

BiPdPt after structural relaxation (PBE, Alexandria).

Calculated values
Space-group type = C2/m
Distance to the lowest polymorph of the same formula = 0.09 eV/f.u.
Calculated formation energy = -183.5 meV/atom

Unit cell a=4.102 b=4.102 c=7.072 alpha=90.05 beta=90.05 gamma=90.00
Fractional coordinates of all 6 atoms:
Bi 0.250 0.250 0.186
Bi 0.750 0.750 0.814
Pd 0.250 0.250 0.775
Pd 0.750 0.750 0.225
Pt 0.250 0.750 0.500
Pt 0.750 0.250 0.500


# Ta2NiRh2

Ta2NiRh2 after structural relaxation (PBE, Alexandria).

Calculated values
Space-group type = Cmmm
Calculated formation energy = -70.2 meV/atom

Unit cell a=6.923 b=6.923 c=2.780 alpha=90.00 beta=90.00 gamma=144.33
Fractional coordinates of all 5 atoms:
Ta 0.185 0.815 0.000
Ta 0.815 0.185 0.000
Ni 0.000 0.000 0.000
Rh 0.391 0.609 0.500
Rh 0.609 0.391 0.500


# BP2AuO

BP2AuO after structural relaxation (PBE, Alexandria).

Calculated values
Space-group type = P4/mmm
Distance to the lowest polymorph of the same formula = 7.90 eV/f.u.
Formation energy (no corrections) = 1724 meV per atom

Unit cell a=4.878 b=4.878 c=3.888 alpha=90.00 beta=90.00 gamma=90.00
Fractional coordinates of all 5 atoms:
B 0.000 0.000 0.000
P 0.000 0.500 0.500
P 0.500 0.000 0.500
Au 0.500 0.500 0.500
O 0.500 0.500 0.000


# SrNdSnHg

SrNdSnHg after structural relaxation (PBE, Alexandria).

Calculated values
Space-group type = F-43m
Calculated formation energy = -561.9 meV/atom

Unit cell a=5.570 b=5.570 c=5.570 alpha=60.00 beta=60.00 gamma=60.00
Fractional coordinates of all 4 atoms:
Sr 0.000 0.000 0.000
Nd 0.500 0.500 0.500
Sn 0.750 0.750 0.750
Hg 0.250 0.250 0.250


# KRb2Cl

KRb2Cl after structural relaxation (PBE, Alexandria).

Calculated values
Space-group type = Fm-3m
Distance to the lowest polymorph of the same formula = 1.42 eV/f.u.
Formation energy (no corrections) = -572 meV per atom

Unit cell a=6.902 b=6.902 c=6.902 alpha=60.00 beta=60.00 gamma=60.00
Fractional coordinates of all 4 atoms:
K 0.000 0.000 0.000
Rb 0.250 0.250 0.250
Rb 0.750 0.750 0.750
Cl 0.500 0.500 0.500


# Nd6Co2PCl3

Nd6Co2PCl3 after structural relaxation (PBE, Alexandria).

Calculated values
Space-group type = C2/m
Formation energy (no corrections) = -1057 meV per atom

Unit cell a=7.033 b=7.033 c=7.725 alpha=98.68 beta=98.68 gamma=119.97
Fractional coordinates of all 12 atoms:
Nd 0.084 0.432 0.796
Nd 0.220 0.220 0.204
Nd 0.432 0.084 0.796
Nd 0.568 0.916 0.204
Nd 0.780 0.780 0.796
Nd 0.916 0.568 0.204
Co 0.167 0.833 0.000
Co 0.833 0.167 0.000
P 0.500 0.500 0.000
Cl 0.000 0.000 0.500
Cl 0.337 0.663 0.500
Cl 0.663 0.337 0.500


# NaSmCuAg

NaSmCuAg after structural relaxation (PBE, Alexandria).

Calculated values
Space-group type = F-43m
Calculated formation energy = -1.0 meV/atom

Unit cell a=5.028 b=5.028 c=5.028 alpha=60.00 beta=60.00 gamma=60.00
Fractional coordinates of all 4 atoms:
Na 0.000 0.000 0.000
Sm 0.500 0.500 0.500
Cu 0.750 0.750 0.750
Ag 0.250 0.250 0.250


# Er4CdPtRh2

Er4CdPtRh2 after structural relaxation (PBE, Alexandria).

Calculated values
Space-group type = R-3m
Calculated formation energy = -833.8 meV/atom

Unit cell a=8.560 b=8.560 c=8.560 alpha=33.45 beta=33.45 gamma=33.45
Fractional coordinates of all 8 atoms:
Er 0.120 0.120 0.120
Er 0.371 0.371 0.371
Er 0.629 0.629 0.629
Er 0.880 0.880 0.880
Cd 0.500 0.500 0.500
Pt 0.000 0.000 0.000
Rh 0.248 0.248 0.248
Rh 0.752 0.752 0.752


# BeCo4Mo

BeCo4Mo after structural relaxation (PBE, Alexandria).

Calculated values
Space-group type = F-43m
Calculated formation energy = 123.9 meV/atom

Unit cell a=4.579 b=4.579 c=4.579 alpha=60.00 beta=60.00 gamma=60.00
Fractional coordinates of all 6 atoms:
Be 0.000 0.000 0.000
Co 0.122 0.626 0.626
Co 0.626 0.122 0.626
Co 0.626 0.626 0.122
Co 0.626 0.626 0.626
Mo 0.250 0.250 0.250


# HfOsS2

HfOsS2 after structural relaxation (PBE, Alexandria).

Calculated values
Space-group type = Fm-3m
Distance to the lowest polymorph of the same formula = 0.94 eV/f.u.
Formation energy (no corrections) = -207 meV per atom

Unit cell a=4.388 b=4.388 c=4.388 alpha=60.00 beta=60.00 gamma=60.00
Fractional coordinates of all 4 atoms:
Hf 0.000 0.000 0.000
Os 0.500 0.500 0.500
S 0.250 0.250 0.250
S 0.750 0.750 0.750


# MgInNi2

MgInNi2 after structural relaxation (PBE, Alexandria).

Calculated values
Space-group type = R-3m
Calculated formation energy = 97.8 meV/atom

Unit cell a=8.331 b=8.331 c=8.331 alpha=20.70 beta=20.70 gamma=20.70
Fractional coordinates of all 4 atoms:
Mg 0.000 0.000 0.000
In 0.500 0.500 0.500
Ni 0.250 0.250 0.250
Ni 0.750 0.750 0.750


One value per record, in order, for E: -5.22; -8.91; -3.42; -3.25; -1.79; -5.54; -3.25; -5.82; -7.04; -7.57; -3.88 eV/atom.